Computed, not measured: crystalline KMnCoF6 at its relaxed geometry at the PBE+U level of DFT.

```
KMnCoF6
1.0
2.765 -4.599 0.000
2.765 4.599 0.000
-0.108 0.000 5.715
K Mn Co F
1 1 1 6
direct
0.000 0.000 0.000
0.667 0.333 0.500
0.327 0.673 0.500
0.004 0.626 0.296
0.374 0.996 0.704
0.380 0.358 0.317
0.639 0.020 0.318
0.642 0.620 0.683
0.980 0.361 0.682
```

## Properties
Its space group is C2. The calculation puts the total DFT energy (no corrections) at -5.231 eV per atom.